Record 1
# PBE Cs3Li2YI8, optimized geometry
data_Cs3Li2YI8
_symmetry_space_group_name_H-M 'P -3 m 1'
_symmetry_Int_Tables_number 164
_symmetry_space_group_name_Hall '-P 3 2"'
_cell_length_a 8.5168
_cell_length_b 8.5168
_cell_length_c 10.8834
_cell_angle_alpha 90.00
_cell_angle_beta 90.00
_cell_angle_gamma 120.00
loop_
_atom_site_label
_atom_site_type_symbol
_atom_site_fract_x
_atom_site_fract_y
_atom_site_fract_z
_atom_site_occupancy
Cs1 Cs 0.0000 0.0000 0.0000 1
Cs2 Cs 0.3333 0.6667 0.6348 1
Li1 Li 0.3333 0.6667 0.2070 1
Y1 Y 0.0000 0.0000 0.5000 1
I1 I 0.1642 0.3284 0.3330 1
I2 I 0.3333 0.6667 0.9697 1
# * uncorrected formation energy: -1.38 eV/atom
# * N(E_F): 0.000 states/eV/atom
# * DFT total energy: -3.183 eV per atom
# * crystal system: trigonal



Record 2
# PBE CsLi2YI6, optimized geometry
data_CsLi2YI6
_symmetry_space_group_name_H-M 'P 1'
_symmetry_Int_Tables_number 1
_cell_length_a 7.781
_cell_length_b 8.220
_cell_length_c 8.723
_cell_angle_alpha 104.51
_cell_angle_beta 102.25
_cell_angle_gamma 115.85
loop_
_symmetry_equiv_pos_as_xyz
'x,y,z'
loop_
_atom_site_label
_atom_site_type_symbol
_atom_site_fract_x
_atom_site_fract_y
_atom_site_fract_z
_atom_site_occupancy
Cs1 Cs 0.000 0.000 0.000 1
Li1 Li 0.124 0.659 0.594 1
Li2 Li 0.536 0.698 0.313 1
Y1 Y 0.427 0.222 0.645 1
I1 I 0.291 0.441 0.444 1
I2 I 0.428 0.486 0.962 1
I3 I 0.431 0.981 0.322 1
I4 I 0.481 0.986 0.844 1
I5 I 0.882 0.480 0.762 1
I6 I 0.960 0.893 0.511 1
# * uncorrected formation energy: -1.34 eV/atom
# * N(E_F): 0.000 states/eV/atom
# * DFT total energy: -3.381 eV per atom
# * crystal system: triclinic



Record 3
# PBE Cs3Li2YI9, optimized geometry
data_Cs3Li2YI9
_symmetry_space_group_name_H-M 'P -3 m 1'
_symmetry_Int_Tables_number 164
_symmetry_space_group_name_Hall '-P 3 2"'
_cell_length_a 8.4585
_cell_length_b 8.4585
_cell_length_c 10.5210
_cell_angle_alpha 90.00
_cell_angle_beta 90.00
_cell_angle_gamma 120.00
loop_
_atom_site_label
_atom_site_type_symbol
_atom_site_fract_x
_atom_site_fract_y
_atom_site_fract_z
_atom_site_occupancy
Cs1 Cs 0.0000 0.0000 0.0000 1
Cs2 Cs 0.3333 0.6667 0.6746 1
Li1 Li 0.3333 0.6667 0.1406 1
Y1 Y 0.0000 0.0000 0.5000 1
I1 I 0.0000 0.5000 0.0000 1
I2 I 0.1682 0.3363 0.3335 1
# * uncorrected formation energy: -1.28 eV/atom
# * N(E_F): 1.057 states/eV/atom
# * DFT total energy: -3.070 eV per atom
# * crystal system: trigonal



Question: What is the formula in the third record?
Answer: Cs3Li2YI9



Question: Number 1 is which compound?
Answer: Cs3Li2YI8